Below is a relaxed PaAl3 crystal, with properties calculated at the PBE level.

Magnetization, μB/atom: 0.00
ΔE to the lowest computed polymorph, eV/atom: 0.1880

Unit cell a=5.397 b=5.397 c=5.397 alpha=133.69 beta=133.69 gamma=67.57
Fractional coordinates of all 4 atoms:
Pa 0.000 0.000 0.000
Al 0.250 0.750 0.500
Al 0.500 0.500 0.000
Al 0.750 0.250 0.500